# 1
First-principles (GGA-PBE) data for an optimized crystal structure of KRb4Ag, as listed in Alexandria.

* crystal system: monoclinic
* distance to the lowest polymorph of the same formula: 0.0179 eV per atom
* total moment: 0.00 μB/f.u.
* Fermi-level density of states: 9.3 states/eV per cell
* space-group type: C2/c (15)
* volume: 69.6 Å³/atom
* DFT formation energy: 0.0473 eV/atom

Cell and atoms, written as CIF:
```
data_KRb4Ag
_space_group_name_H-M_alt 'P 1'
_space_group_IT_number 1
_cell_length_a 8.2696
_cell_length_b 12.7053
_cell_length_c 10.5413
_cell_angle_alpha 117.63
_cell_angle_beta 100.31
_cell_angle_gamma 110.73
loop_
_space_group_symop_operation_xyz
'x,y,z'
loop_
_atom_site_label
_atom_site_type_symbol
_atom_site_fract_x
_atom_site_fract_y
_atom_site_fract_z
_atom_site_occupancy
K1 K 0.3582 0.6082 0.2165 1
K2 K 0.6418 0.3918 0.7835 1
Rb1 Rb 0.0435 0.1623 0.8219 1
Rb2 Rb 0.7872 0.7318 0.6721 1
Rb3 Rb 0.2784 0.6596 0.8219 1
Rb4 Rb 0.3848 0.9403 0.6721 1
Rb5 Rb 0.6152 0.0597 0.3279 1
Rb6 Rb 0.7216 0.3404 0.1781 1
Rb7 Rb 0.2128 0.2682 0.3279 1
Rb8 Rb 0.9565 0.8377 0.1781 1
Ag1 Ag 0.2521 0.0021 0.0042 1
Ag2 Ag 0.7479 0.9979 0.9958 1
```


# 2
First-principles (GGA-PBE) data for an optimized crystal structure of Tl2CoMo, as listed in Alexandria.

* crystal system: orthorhombic
* distance to the lowest polymorph of the same formula: 0.3709 eV per atom
* total moment: 1.32 μB/f.u.
* Fermi-level density of states: 4.8 states/eV per cell
* space-group type: Cmmm (65)
* volume: 18.6 Å³/atom
* DFT formation energy: 0.8155 eV/atom

Cell and atoms, written as CIF:
```
data_Tl2CoMo
_space_group_name_H-M_alt 'P 1'
_space_group_IT_number 1
_cell_length_a 2.9955
_cell_length_b 2.9955
_cell_length_c 8.8729
_cell_angle_alpha 90.00
_cell_angle_beta 90.00
_cell_angle_gamma 110.56
loop_
_space_group_symop_operation_xyz
'x,y,z'
loop_
_atom_site_label
_atom_site_type_symbol
_atom_site_fract_x
_atom_site_fract_y
_atom_site_fract_z
_atom_site_occupancy
Co1 Co 0.5000 0.5000 0.2500 1
Mo1 Mo 0.5000 0.5000 0.7500 1
Tl1 Tl 0.0000 0.0000 0.0165 1
Tl2 Tl 0.0000 0.0000 0.4835 1
```


# 3
First-principles (GGA-PBE) data for an optimized crystal structure of BeCd2Hg, as listed in Alexandria.

* crystal system: tetragonal
* distance to the lowest polymorph of the same formula: 0.2063 eV per atom
* total moment: 0.00 μB/f.u.
* Fermi-level density of states: 3.4 states/eV per cell
* space-group type: I-42d (122)
* volume: 21.5 Å³/atom
* DFT formation energy: 0.4137 eV/atom

Cell and atoms, written as CIF:
```
data_BeCd2Hg
_space_group_name_H-M_alt 'P 1'
_space_group_IT_number 1
_cell_length_a 4.2710
_cell_length_b 4.2710
_cell_length_c 9.8801
_cell_angle_alpha 77.52
_cell_angle_beta 77.52
_cell_angle_gamma 90.00
loop_
_space_group_symop_operation_xyz
'x,y,z'
loop_
_atom_site_label
_atom_site_type_symbol
_atom_site_fract_x
_atom_site_fract_y
_atom_site_fract_z
_atom_site_occupancy
Be1 Be 0.5000 0.5000 0.0000 1
Be2 Be 0.2500 0.7500 0.5000 1
Hg1 Hg 0.0000 0.0000 0.0000 1
Hg2 Hg 0.7500 0.2500 0.5000 1
Cd1 Cd 0.5947 0.1250 0.2500 1
Cd2 Cd 0.1553 0.6250 0.2500 1
Cd3 Cd 0.3750 0.4053 0.7500 1
Cd4 Cd 0.8750 0.8447 0.7500 1
```


# 4
First-principles (GGA-PBE) data for an optimized crystal structure of TbTmIrPt, as listed in Alexandria.

* crystal system: cubic
* distance to the lowest polymorph of the same formula: 0.0180 eV per atom
* total moment: 0.00 μB/f.u.
* Fermi-level density of states: 1.7 states/eV per cell
* space-group type: F-43m (216)
* volume: 20.4 Å³/atom
* DFT formation energy: -1.0431 eV/atom

Cell and atoms, written as CIF:
```
data_TbTmIrPt
_space_group_name_H-M_alt 'P 1'
_space_group_IT_number 1
_cell_length_a 4.8710
_cell_length_b 4.8710
_cell_length_c 4.8710
_cell_angle_alpha 60.00
_cell_angle_beta 60.00
_cell_angle_gamma 60.00
loop_
_space_group_symop_operation_xyz
'x,y,z'
loop_
_atom_site_label
_atom_site_type_symbol
_atom_site_fract_x
_atom_site_fract_y
_atom_site_fract_z
_atom_site_occupancy
Tb1 Tb 0.0000 0.0000 0.0000 1
Ir1 Ir 0.2500 0.2500 0.2500 1
Tm1 Tm 0.5000 0.5000 0.5000 1
Pt1 Pt 0.7500 0.7500 0.7500 1
```


# 5
First-principles (GGA-PBE) data for an optimized crystal structure of Si2AgSb, as listed in Alexandria.

* formation energy (no corrections): 0.5430 eV per atom
* crystal system: orthorhombic
* total moment: 0.00 μB/f.u.
* Fermi-level density of states: 1.6 states/eV per cell
* space-group type: Cmmm (65)
* volume: 19.8 Å³/atom

Cell and atoms, written as CIF:
```
data_Si2AgSb
_space_group_name_H-M_alt 'P 1'
_space_group_IT_number 1
_cell_length_a 5.3487
_cell_length_b 5.3487
_cell_length_c 3.0721
_cell_angle_alpha 90.00
_cell_angle_beta 90.00
_cell_angle_gamma 115.42
loop_
_space_group_symop_operation_xyz
'x,y,z'
loop_
_atom_site_label
_atom_site_type_symbol
_atom_site_fract_x
_atom_site_fract_y
_atom_site_fract_z
_atom_site_occupancy
Ag1 Ag 0.5000 0.0000 0.5000 1
Sb1 Sb 0.0000 0.5000 0.5000 1
Si1 Si 0.0000 0.0000 0.0000 1
Si2 Si 0.5000 0.5000 0.0000 1
```


# 6
First-principles (GGA-PBE) data for an optimized crystal structure of ThCuGe, as listed in Alexandria.

* crystal system: hexagonal
* total moment: 0.00 μB/f.u.
* Fermi-level density of states: 9.6 states/eV per cell
* space-group type: P-6m2 (187)
* volume: 21.0 Å³/atom
* DFT formation energy: -0.6234 eV/atom

Cell and atoms, written as CIF:
```
data_ThCuGe
_space_group_name_H-M_alt 'P 1'
_space_group_IT_number 1
_cell_length_a 4.2056
_cell_length_b 4.2054
_cell_length_c 12.3570
_cell_angle_alpha 90.00
_cell_angle_beta 90.00
_cell_angle_gamma 120.00
loop_
_space_group_symop_operation_xyz
'x,y,z'
loop_
_atom_site_label
_atom_site_type_symbol
_atom_site_fract_x
_atom_site_fract_y
_atom_site_fract_z
_atom_site_occupancy
Th1 Th 0.4948 0.9895 0.0000 1
Th2 Th 0.4947 0.9893 0.6672 1
Th3 Th 0.4947 0.9893 0.3328 1
Cu1 Cu 0.1614 0.3228 0.1640 1
Cu2 Cu 0.1614 0.3228 0.8360 1
Cu3 Cu 0.8279 0.6559 0.5000 1
Ge1 Ge 0.8281 0.6561 0.1681 1
Ge2 Ge 0.8281 0.6561 0.8319 1
Ge3 Ge 0.1613 0.3225 0.5000 1
```


Question: Which of these has the lowest Fermi-level density of states?
Answer: Si2AgSb


Please write out number 5 again, unchanged.
First-principles (GGA-PBE) data for an optimized crystal structure of Si2AgSb, as listed in Alexandria.

* formation energy (no corrections): 0.5430 eV per atom
* crystal system: orthorhombic
* total moment: 0.00 μB/f.u.
* Fermi-level density of states: 1.6 states/eV per cell
* space-group type: Cmmm (65)
* volume: 19.8 Å³/atom

Cell and atoms, written as CIF:
```
data_Si2AgSb
_space_group_name_H-M_alt 'P 1'
_space_group_IT_number 1
_cell_length_a 5.3487
_cell_length_b 5.3487
_cell_length_c 3.0721
_cell_angle_alpha 90.00
_cell_angle_beta 90.00
_cell_angle_gamma 115.42
loop_
_space_group_symop_operation_xyz
'x,y,z'
loop_
_atom_site_label
_atom_site_type_symbol
_atom_site_fract_x
_atom_site_fract_y
_atom_site_fract_z
_atom_site_occupancy
Ag1 Ag 0.5000 0.0000 0.5000 1
Sb1 Sb 0.0000 0.5000 0.5000 1
Si1 Si 0.0000 0.0000 0.0000 1
Si2 Si 0.5000 0.5000 0.0000 1
```


Question: volume of number 3 (BeCd2Hg)?
Answer: 21.5 Å³/atom